Compound: CsUFe2O6
Source: Alexandria
Functional: GGA+U
Structure: relaxed

Properties
The calculation puts the final energy at -146.55 eV for the cell shown. As for the space group: C2/c, No. 15.

The structure in POSCAR format:
```
CsUFe2O6
1.0
-4.648 5.909 2.686
-4.449 0.130 -4.916
-3.910 -3.517 4.040
O Fe Cs U
12 4 2 2
Direct
0.992 0.682 0.394 O
0.187 0.620 0.723 O
0.159 0.297 0.013 O
0.313 0.277 0.380 O
0.341 0.987 0.703 O
0.659 0.013 0.297 O
0.687 0.723 0.620 O
0.841 0.703 0.987 O
0.008 0.318 0.606 O
0.508 0.606 0.318 O
0.813 0.380 0.277 O
0.492 0.394 0.682 O
0.430 0.696 0.644 Fe
0.570 0.304 0.356 Fe
0.930 0.644 0.696 Fe
0.070 0.356 0.304 Fe
0.750 0.144 0.856 Cs
0.250 0.856 0.144 Cs
0.250 0.294 0.706 U
0.750 0.706 0.294 U
```